# 1
CeSmTh2Rh4: relaxed, PBE-GGA.

The value obtained for the calculated total energy is -7.65 eV per atom. For the calculated volume, the calculation gives 381 Å³/cell. The value obtained for the energy of formation is -18.05 kcal/mol of atoms. The calculation puts the magnetic moment at 0.00 μB per formula unit.

The structure belongs to space group I4/mmm (No. 139); the cell edges are 5.766, 5.766 and 11.454 Å and the angles 90.00°, 90.00° and 90.00°. The distinct sites, in fractional coordinates, are Ce at (0.000, 0.000, 0.000), Sm at (0.000, 0.000, 0.500), Th at (0.000, 0.500, 0.250), Rh at (0.000, 0.000, 0.242) and Rh at (0.000, 0.500, 0.000).


# 2
Pm3Cd2In6: relaxed, PBE-GGA.

The value obtained for the calculated total energy is -3.23 eV per atom. For the calculated volume, the calculation gives 622 Å³/cell. The value obtained for the energy of formation is -6.22 kcal/mol of atoms. The calculation puts the magnetic moment at 0.00 μB per formula unit.

The structure belongs to space group I4/mmm (No. 139); the cell edges are 4.433, 4.433 and 31.659 Å and the angles 90.00°, 90.00° and 90.00°. The distinct sites, in fractional coordinates, are Pm at (0.000, 0.000, 0.000), Pm at (0.000, 0.000, 0.164), Cd at (0.000, 0.000, 0.358), In at (0.000, 0.000, 0.267) and In at (0.000, 0.500, 0.076).


# 3
NdSm2TcN4: relaxed, PBE-GGA.

The value obtained for the calculated total energy is -8.21 eV per atom. For the calculated volume, the calculation gives 498 Å³/cell. The uncorrected formation energy is -751 kJ/mol of formula units. The calculation puts the magnetic moment at 0.00 μB per formula unit.

The structure belongs to space group Cmcm (No. 63); the cell edges are 3.511, 11.934 and 11.892 Å and the angles 90.00°, 90.00° and 90.00°. The distinct sites, in fractional coordinates, are Nd at (0.000, 0.123, 0.250), Sm at (0.000, 0.368, 0.040), Tc at (0.000, 0.144, 0.750), N at (0.000, 0.000, 0.000), N at (0.000, 0.266, 0.633) and N at (0.000, 0.434, 0.250).


# 4
Sn3HgAsSe: relaxed, PBE-GGA.

The value obtained for the calculated total energy is -3.49 eV per atom. For the calculated volume, the calculation gives 357 Å³/cell. The uncorrected formation energy is -47 kJ/mol of formula units. The calculation puts the magnetic moment at 0.00 μB per formula unit.

The structure belongs to space group P2_1/m (No. 11); the cell edges are 8.331, 4.056 and 10.692 Å and the angles 90.00°, 98.93° and 90.00°. The distinct sites, in fractional coordinates, are Sn at (0.015, 0.250, 0.324), Sn at (0.304, 0.250, 0.043), Sn at (0.413, 0.750, 0.600), Hg at (0.293, 0.750, 0.278), As at (0.173, 0.250, 0.571) and Se at (0.369, 0.750, 0.869).


# 5
LiGeN2: relaxed, PBE-GGA.

The value obtained for the calculated total energy is -4.97 eV per atom. For the calculated volume, the calculation gives 172 Å³/cell. The uncorrected formation energy is 318 kJ/mol of formula units. The calculation puts the magnetic moment at 1.00 μB per formula unit.

The structure belongs to space group R-3m (No. 166, hexagonal axes); the cell edges are 3.3888, 3.3888 and 17.3421 Å and the angles 90.00°, 90.00° and 120.00°. The distinct sites, in fractional coordinates, are Li at (0.0000, 0.0000, 0.0000), Ge at (0.0000, 0.0000, 0.5000) and N at (0.0000, 0.0000, 0.4018).


# 6
Ca2FeW: relaxed, PBE-GGA.

The value obtained for the calculated total energy is -5.48 eV per atom. For the calculated volume, the calculation gives 163 Å³/cell. The value obtained for the energy of formation is 20.09 kcal/mol of atoms. The calculation puts the magnetic moment at 2.07 μB per formula unit. The value obtained for the energy relative to the lowest polymorph listed for this composition is 0.4487 eV per atom.

The structure belongs to space group Cmmm (No. 65); the cell edges are 4.093, 4.105 and 9.696 Å and the angles 90.00°, 90.00° and 90.00°. The distinct sites, in fractional coordinates, are Ca at (0.000, 0.000, 0.240), Fe at (0.000, 0.500, 0.000) and W at (0.000, 0.500, 0.500).


# 7
KIn2Se: relaxed, PBE-GGA.

The value obtained for the calculated total energy is -2.87 eV per atom. For the calculated volume, the calculation gives 116 Å³/cell. The uncorrected formation energy is -138 kJ/mol of formula units. The calculation puts the magnetic moment at 0.00 μB per formula unit.

The structure belongs to space group Pmmm (No. 47); the cell edges are 4.598, 4.636 and 5.432 Å and the angles 90.00°, 90.00° and 90.00°. The distinct sites, in fractional coordinates, are K at (0.000, 0.000, 0.000), In at (0.000, 0.500, 0.500), In at (0.500, 0.000, 0.500) and Se at (0.500, 0.500, 0.000).


# 8
NdSm2Al2Zn2: relaxed, PBE-GGA.

The value obtained for the calculated total energy is -3.77 eV per atom. For the calculated volume, the calculation gives 507 Å³/cell. The value obtained for the energy of formation is -7.12 kcal/mol of atoms. The calculation puts the magnetic moment at 0.00 μB per formula unit.

The structure belongs to space group R-3m (No. 166, hexagonal axes); the cell edges are 4.5669, 4.5669 and 28.0782 Å and the angles 90.00°, 90.00° and 120.00°. The distinct sites, in fractional coordinates, are Nd at (0.0000, 0.0000, 0.0000), Sm at (0.0000, 0.0000, 0.1286), Al at (0.0000, 0.0000, 0.2627) and Zn at (0.0000, 0.0000, 0.4022).


# 9
HfAg2RhI: relaxed, PBE-GGA.

The value obtained for the calculated total energy is -3.92 eV per atom. For the calculated volume, the calculation gives 125 Å³/cell. The uncorrected formation energy is 478 kJ/mol of formula units. The calculation puts the magnetic moment at 0.02 μB per formula unit.

The structure belongs to space group P4/mmm (No. 123); the cell edges are 5.044, 5.044 and 4.920 Å and the angles 90.00°, 90.00° and 90.00°. The distinct sites, in fractional coordinates, are Hf at (0.000, 0.000, 0.000), Ag at (0.000, 0.500, 0.500), Rh at (0.500, 0.500, 0.500) and I at (0.500, 0.500, 0.000).


# 10
RbSrBr2: relaxed, PBE-GGA.

The value obtained for the calculated total energy is -2.94 eV per atom. For the calculated volume, the calculation gives 892 Å³/cell. The uncorrected formation energy is -558 kJ/mol of formula units. The calculation puts the magnetic moment at 0.00 μB per formula unit. The value obtained for the energy relative to the lowest polymorph listed for this composition is 0.1052 eV per atom.

The structure belongs to space group I-42d (No. 122); the cell edges are 7.652, 7.652 and 15.234 Å and the angles 90.00°, 90.00° and 90.00°. The distinct sites, in fractional coordinates, are Rb at (0.000, 0.000, 0.000), Sr at (0.000, 0.000, 0.500) and Br at (0.188, 0.250, 0.625).


Among the records above, which one has the lowest calculated total energy? NdSm2TcN4


The highest magnetic moment belongs to which entry? Ca2FeW


Among the records above, which one has the highest calculated volume? RbSrBr2


What is the magnetic moment in the first record? 0.00 μB per formula unit